Record 1
Material: SrTeMo2
Method: DFT, GGA-PBEsol
State: optimized geometry

a = 3.8124 Å, b = 4.4208 Å, c = 4.8848 Å
α = 90.00°, β = 90.00°, γ = 90.00°
Positions (direct):
Mo1 0.0000 0.0000 0.0000
Mo2 0.5000 0.5000 0.0000
Sr1 0.5000 0.0000 0.5000
Te1 0.0000 0.5000 0.5000

## Properties
crystal system	orthorhombic
E_form (uncorrected)	0.78	eV/atom

***

Record 2
Material: BaTlHg2
Method: DFT, GGA-PBEsol
State: optimized geometry

a = 5.4573 Å, b = 5.4573 Å, c = 5.4573 Å
α = 60.00°, β = 60.00°, γ = 60.00°
Positions (direct):
Tl1 0.5000 0.5000 0.5000
Hg1 0.7500 0.7500 0.7500
Hg2 0.2500 0.2500 0.2500
Ba1 0.0000 0.0000 0.0000

## Properties
crystal system	cubic
energy above the most stable polymorph in this dataset	0.00	eV/f.u.

***

Record 3
Material: Ir2Se
Method: DFT, GGA-PBEsol
State: optimized geometry

a = 2.8843 Å, b = 6.1260 Å, c = 5.6215 Å
α = 108.56°, β = 90.00°, γ = 103.62°
Positions (direct):
Ir1 0.5181 0.0361 0.7466
Ir2 0.8290 0.6579 0.4122
Ir3 0.1710 0.3421 0.5878
Ir4 0.4819 0.9639 0.2534
Se1 0.1527 0.3055 0.1299
Se2 0.8473 0.6945 0.8701

## Properties
crystal system	monoclinic
energy above the most stable polymorph in this dataset	0.00	eV/f.u.
E_form (uncorrected)	0.36	eV/atom

***

Record 4
Material: TaMoOs
Method: DFT, GGA-PBEsol
State: optimized geometry

a = 4.2558 Å, b = 4.2558 Å, c = 4.2558 Å
α = 60.00°, β = 60.00°, γ = 60.00°
Positions (direct):
Mo1 0.2500 0.2500 0.2500
Os1 0.0000 0.0000 0.0000
Ta1 0.5000 0.5000 0.5000

## Properties
crystal system	cubic

***

Record 5
Material: CeTlAu2
Method: DFT, GGA-PBEsol
State: optimized geometry

a = 4.9738 Å, b = 4.9738 Å, c = 4.9738 Å
α = 60.00°, β = 60.00°, γ = 60.00°
Each line ends with the local moment (μB).
Positions (direct):
Tl1 0.0000 0.0000 0.0000  0.48
Au1 0.2500 0.2500 0.2500  0.01
Au2 0.7500 0.7500 0.7500  0.00
Ce1 0.5000 0.5000 0.5000  0.00

## Properties
crystal system	cubic

***

Record 6
Material: NbReGe3
Method: DFT, GGA-PBEsol
State: optimized geometry

a = 4.9019 Å, b = 4.9019 Å, c = 4.9019 Å
α = 90.00°, β = 90.00°, γ = 90.00°
Each line ends with the local moment (μB).
Positions (direct):
Re1 0.5000 0.5000 0.5000  3.60
Nb1 0.0000 0.0000 0.0000  0.61
Ge1 0.0000 0.5000 0.0000  0.03
Ge2 0.0000 0.0000 0.5000  0.03
Ge3 0.5000 0.0000 0.0000  0.03

## Properties
crystal system	cubic

***

Record 7
Material: In2IBr
Method: DFT, GGA-PBEsol
State: optimized geometry

a = 7.2213 Å, b = 7.2213 Å, c = 7.2213 Å
α = 65.77°, β = 72.86°, γ = 107.14°
Positions (direct):
I1 0.0000 0.0000 0.0000
I2 0.5000 0.2500 0.2500
Br1 0.0000 0.5000 0.5000
Br2 0.5000 0.7500 0.7500
In1 0.0196 0.3946 0.1250
In2 0.9804 0.8554 0.6250
In3 0.4804 0.6250 0.3946
In4 0.5196 0.1250 0.8554

## Properties
crystal system	tetragonal
energy above the most stable polymorph in this dataset	0.29	eV/f.u.
E_form (uncorrected)	-0.38	eV/atom

***

Record 8
Material: TmThRu2
Method: DFT, GGA-PBEsol
State: optimized geometry

a = 4.8195 Å, b = 4.8195 Å, c = 4.8195 Å
α = 60.00°, β = 60.00°, γ = 60.00°
Positions (direct):
Ru1 0.7500 0.7500 0.7500
Ru2 0.2500 0.2500 0.2500
Tm1 0.0000 0.0000 0.0000
Th1 0.5000 0.5000 0.5000

## Properties
crystal system	cubic

***

no.,magnetization (μB/atom),calculated volume (Å³/atom),calculated total energy (Ry per atom)
1,0.000,20.6,-0.4734
2,0.000,28.7,-0.1406
3,0.000,15.2,-0.5494
4,0.000,18.2,-0.8379
5,0.132,21.8,-0.3493
6,1.026,23.6,-0.4551
7,0.000,36.0,-0.2047
8,0.000,19.8,-0.6422